DFT (PBE) results for Nd2TmAl7Ag2 after structural relaxation.

a b c (Å): 9.439 9.439 9.439
angles (deg): 34.60 34.60 34.60
Positions (direct):
1 Nd 0.142 0.142 0.142
2 Nd 0.858 0.858 0.858
3 Tm 0.000 0.000 0.000
4 Al 0.075 0.586 0.586
5 Al 0.414 0.414 0.925
6 Al 0.414 0.925 0.414
7 Al 0.500 0.500 0.500
8 Al 0.586 0.075 0.586
9 Al 0.586 0.586 0.075
10 Al 0.925 0.414 0.414
11 Ag 0.336 0.336 0.336
12 Ag 0.664 0.664 0.664

Output
- spin magnetization (μB per atom) = 0.000
- DFT total energy (eV per atom) = -4.24